Material: Pm2Se3
Method: DFT, meta-GGA SCAN
State: single point on PBEsol structure

Unit cell a=14.483 b=14.483 c=14.483 alpha=144.92 beta=144.92 gamma=50.45
Atoms (fractional coordinates):
Pm: 0.047 0.423 0.889
Pm: 0.167 0.167 0.000
Pm: 0.173 0.297 0.389
Pm: 0.217 0.827 0.124
Pm: 0.256 0.125 0.631
Pm: 0.375 0.744 0.869
Pm: 0.494 0.625 0.369
Pm: 0.533 0.157 0.111
Pm: 0.577 0.467 0.624
Pm: 0.583 0.083 0.500
Pm: 0.703 0.093 0.876
Pm: 0.833 0.833 0.000
Pm: 0.843 0.953 0.376
Pm: 0.875 0.506 0.131
Pm: 0.907 0.783 0.611
Pm: 0.917 0.417 0.500
Se: 0.007 0.105 0.247
Se: 0.072 0.825 0.603
Se: 0.175 0.778 0.247
Se: 0.185 0.092 0.747
Se: 0.189 0.596 0.753
Se: 0.219 0.472 0.897
Se: 0.222 0.469 0.397
Se: 0.240 0.993 0.098
Se: 0.346 0.439 0.253
Se: 0.404 0.158 0.593
Se: 0.510 0.108 0.253
Se: 0.528 0.425 0.747
Se: 0.531 0.928 0.753
Se: 0.561 0.815 0.907
Se: 0.565 0.811 0.407
Se: 0.575 0.322 0.103
Se: 0.678 0.781 0.253
Se: 0.743 0.490 0.598
Se: 0.842 0.435 0.247
Se: 0.855 0.257 0.747
Se: 0.858 0.760 0.753
Se: 0.892 0.145 0.402
Se: 0.895 0.142 0.902
Se: 0.908 0.654 0.093

Properties
Raw formation energy in eV per atom: -2.136

Material: PmSe2
Method: DFT, meta-GGA SCAN
State: single point on PBEsol structure

Unit cell a=4.082 b=4.082 c=8.397 alpha=90.00 beta=90.00 gamma=90.00
Atoms (fractional coordinates):
Pm: 0.250 0.250 0.227
Pm: 0.750 0.750 0.773
Se: 0.250 0.250 0.868
Se: 0.250 0.750 0.500
Se: 0.750 0.250 0.500
Se: 0.750 0.750 0.132

Properties
Energy above the lowest structure with this stoichiometry in eV per atom: 0.025
Raw formation energy in eV per atom: -1.822

Material: PmSe
Method: DFT, meta-GGA SCAN
State: single point on PBEsol structure

Unit cell a=4.134 b=4.134 c=4.134 alpha=60.00 beta=60.00 gamma=60.00
Atoms (fractional coordinates):
Pm: 0.000 0.000 0.000
Se: 0.500 0.500 0.500

Properties
Raw formation energy in eV per atom: -2.050

Material: Pm3Si
Method: DFT, meta-GGA SCAN
State: single point on PBEsol structure

Unit cell a=4.661 b=4.661 c=4.661 alpha=90.00 beta=90.00 gamma=90.00
Atoms (fractional coordinates):
Pm: 0.000 0.000 0.500
Pm: 0.000 0.500 0.000
Pm: 0.500 0.000 0.000
Si: 0.500 0.500 0.500

Properties
Raw formation energy in eV per atom: -0.299

Material: PmSi3
Method: DFT, meta-GGA SCAN
State: single point on PBEsol structure

Unit cell a=6.054 b=6.054 c=4.596 alpha=90.00 beta=90.00 gamma=120.00
Atoms (fractional coordinates):
Pm: 0.333 0.667 0.250
Pm: 0.667 0.333 0.750
Si: 0.138 0.276 0.750
Si: 0.138 0.862 0.750
Si: 0.276 0.138 0.250
Si: 0.724 0.862 0.750
Si: 0.862 0.138 0.250
Si: 0.862 0.724 0.250

Properties
Raw formation energy in eV per atom: -0.230

Material: PmSm3
Method: DFT, meta-GGA SCAN
State: single point on PBEsol structure

Unit cell a=5.020 b=5.020 c=5.020 alpha=90.00 beta=90.00 gamma=90.00
Atoms (fractional coordinates):
Pm: 0.000 0.000 0.000
Sm: 0.000 0.500 0.500
Sm: 0.500 0.000 0.500
Sm: 0.500 0.500 0.000

Properties
Energy above the lowest structure with this stoichiometry in eV per atom: 0.000
DFT formation energy in eV/atom: 0.011

Material: PmSm3
Method: DFT, meta-GGA SCAN
State: single point on PBEsol structure

Unit cell a=7.149 b=7.149 c=5.753 alpha=90.00 beta=90.00 gamma=120.00
Atoms (fractional coordinates):
Pm: 0.333 0.667 0.250
Pm: 0.667 0.333 0.750
Sm: 0.167 0.333 0.750
Sm: 0.167 0.833 0.750
Sm: 0.333 0.167 0.250
Sm: 0.667 0.833 0.750
Sm: 0.833 0.167 0.250
Sm: 0.833 0.667 0.250

Properties
Energy above the lowest structure with this stoichiometry in eV per atom: 0.015
DFT formation energy in eV/atom: 0.026

Material: PmSm3
Method: DFT, meta-GGA SCAN
State: single point on PBEsol structure

Unit cell a=6.147 b=6.147 c=6.147 alpha=131.78 beta=131.78 gamma=70.58
Atoms (fractional coordinates):
Pm: 0.000 0.000 0.000
Sm: 0.250 0.750 0.500
Sm: 0.500 0.500 0.000
Sm: 0.750 0.250 0.500

Properties
Energy above the lowest structure with this stoichiometry in eV per atom: 0.000
DFT formation energy in eV/atom: 0.011

Material: PmSmTl2
Method: DFT, meta-GGA SCAN
State: single point on PBEsol structure

Unit cell a=5.372 b=5.372 c=5.372 alpha=60.00 beta=60.00 gamma=60.00
Atoms (fractional coordinates):
Pm: 0.000 0.000 0.000
Sm: 0.500 0.500 0.500
Tl: 0.250 0.250 0.250
Tl: 0.750 0.750 0.750

Properties
DFT formation energy in eV/atom: -0.594

Material: Pm2TlSn
Method: DFT, meta-GGA SCAN
State: single point on PBEsol structure

Unit cell a=5.376 b=5.376 c=5.376 alpha=60.00 beta=60.00 gamma=60.00
Atoms (fractional coordinates):
Pm: 0.250 0.250 0.250
Pm: 0.750 0.750 0.750
Tl: 0.000 0.000 0.000
Sn: 0.500 0.500 0.500

Properties
DFT formation energy in eV/atom: -0.663

Material: Tb3Pm
Method: DFT, meta-GGA SCAN
State: single point on PBEsol structure

Unit cell a=7.107 b=7.107 c=5.632 alpha=90.00 beta=90.00 gamma=120.00
Atoms (fractional coordinates):
Tb: 0.167 0.333 0.250
Tb: 0.167 0.833 0.250
Tb: 0.333 0.167 0.750
Tb: 0.667 0.833 0.250
Tb: 0.833 0.167 0.750
Tb: 0.833 0.667 0.750
Pm: 0.333 0.667 0.750
Pm: 0.667 0.333 0.250

Properties
Energy above the lowest structure with this stoichiometry in eV per atom: 0.003
DFT formation energy in eV/atom: 0.019

Material: Tb3Pm
Method: DFT, meta-GGA SCAN
State: single point on PBEsol structure

Unit cell a=6.071 b=6.071 c=6.071 alpha=131.82 beta=131.82 gamma=70.51
Atoms (fractional coordinates):
Tb: 0.000 0.000 0.000
Tb: 0.250 0.750 0.500
Tb: 0.750 0.250 0.500
Pm: 0.500 0.500 0.000

Properties
Energy above the lowest structure with this stoichiometry in eV per atom: 0.000
DFT formation energy in eV/atom: 0.016

- What is the formula in the fifth record?
  PmSi3

Please write out number 1 again, unchanged.
Material: Pm2Se3
Method: DFT, meta-GGA SCAN
State: single point on PBEsol structure

Unit cell a=14.483 b=14.483 c=14.483 alpha=144.92 beta=144.92 gamma=50.45
Atoms (fractional coordinates):
Pm: 0.047 0.423 0.889
Pm: 0.167 0.167 0.000
Pm: 0.173 0.297 0.389
Pm: 0.217 0.827 0.124
Pm: 0.256 0.125 0.631
Pm: 0.375 0.744 0.869
Pm: 0.494 0.625 0.369
Pm: 0.533 0.157 0.111
Pm: 0.577 0.467 0.624
Pm: 0.583 0.083 0.500
Pm: 0.703 0.093 0.876
Pm: 0.833 0.833 0.000
Pm: 0.843 0.953 0.376
Pm: 0.875 0.506 0.131
Pm: 0.907 0.783 0.611
Pm: 0.917 0.417 0.500
Se: 0.007 0.105 0.247
Se: 0.072 0.825 0.603
Se: 0.175 0.778 0.247
Se: 0.185 0.092 0.747
Se: 0.189 0.596 0.753
Se: 0.219 0.472 0.897
Se: 0.222 0.469 0.397
Se: 0.240 0.993 0.098
Se: 0.346 0.439 0.253
Se: 0.404 0.158 0.593
Se: 0.510 0.108 0.253
Se: 0.528 0.425 0.747
Se: 0.531 0.928 0.753
Se: 0.561 0.815 0.907
Se: 0.565 0.811 0.407
Se: 0.575 0.322 0.103
Se: 0.678 0.781 0.253
Se: 0.743 0.490 0.598
Se: 0.842 0.435 0.247
Se: 0.855 0.257 0.747
Se: 0.858 0.760 0.753
Se: 0.892 0.145 0.402
Se: 0.895 0.142 0.902
Se: 0.908 0.654 0.093

Properties
Raw formation energy in eV per atom: -2.136